Entry 1:
Below is GaAsN2F at its PBEsol-relaxed geometry, with properties calculated at the meta-GGA SCAN level.

abc: 3.790 3.790 3.977
angles: 90.00 90.00 90.00
Element x y z (fractional)
1 Ga 0.000 0.000 0.000
2 As 0.500 0.500 0.500
3 N 0.000 0.500 0.500
4 N 0.500 0.000 0.500
5 F 0.500 0.500 0.000

Total magnetic moment ... 0.0 μB per formula unit
Raw formation energy ... 2.50 eV/f.u.

---

Entry 2:
Below is TaZnOs at its PBEsol-relaxed geometry, with properties calculated at the meta-GGA SCAN level.

abc: 7.017 6.812 2.732
angles: 82.86 74.42 22.73
Element x y z (fractional)
1 Ta 0.000 0.000 0.000
2 Zn 0.327 0.327 0.673
3 Os 0.664 0.664 0.336

Formation energy ... 0.117 eV per atom
Total magnetic moment ... 0.0 μB per formula unit

---

Entry 3:
Below is Re2TcAs at its PBEsol-relaxed geometry, with properties calculated at the meta-GGA SCAN level.

abc: 5.033 5.033 2.818
angles: 101.42 101.42 117.10
Element x y z (fractional)
1 Re 0.000 0.500 0.000
2 Re 0.500 0.000 0.000
3 Tc 0.000 0.000 0.500
4 As 0.500 0.500 0.500

Formation energy ... 0.443 eV per atom
Total magnetic moment ... 0.0 μB per formula unit

---

Entry 4:
Below is HfZrAs2 at its PBEsol-relaxed geometry, with properties calculated at the meta-GGA SCAN level.

abc: 4.677 4.677 4.677
angles: 60.00 60.00 60.00
Element x y z (fractional)
1 Hf 0.000 0.000 0.000
2 Zr 0.500 0.500 0.500
3 As 0.250 0.250 0.250
4 As 0.750 0.750 0.750

Formation energy ... -0.785 eV per atom
Total magnetic moment ... 0.0 μB per formula unit